# 1
! Sr3HfBe | the Alexandria database | GGA-PBE | optimized geometry; values from VASP
! E_tot, eV/f.u.: -11.70
! ΔE to the lowest computed polymorph, meV per atom: 483
! Theoretical density, g cm⁻³: 3.279
! Calculated formation energy, eV per atom: 1.404
&SYSTEM
  ibrav = 0, nat = 5, ntyp = 3
/
ATOMIC_SPECIES
Sr 87.62 Sr.upf
Hf 178.49 Hf.upf
Be 9.01 Be.upf
ATOMIC_POSITIONS crystal
Sr 0.0000 0.0000 0.5000
Sr 0.0000 0.5000 0.0000
Sr 0.5000 0.0000 0.0000
Hf 0.0000 0.0000 0.0000
Be 0.5000 0.5000 0.5000
CELL_PARAMETERS angstrom
6.1099 0.0000 0.0000
0.0000 6.1099 0.0000
0.0000 0.0000 6.1099

# 2
! SrHfBe3 | the Alexandria database | GGA-PBE | optimized geometry; values from VASP
! E_tot, eV/f.u.: -12.84
! ΔE to the lowest computed polymorph, meV per atom: 927
! Theoretical density, g cm⁻³: 5.047
! Calculated formation energy, eV per atom: 1.995
&SYSTEM
  ibrav = 0, nat = 5, ntyp = 3
/
ATOMIC_SPECIES
Sr 87.62 Sr.upf
Hf 178.49 Hf.upf
Be 9.01 Be.upf
ATOMIC_POSITIONS crystal
Sr 0.0000 0.0000 0.0000
Hf 0.5000 0.5000 0.5000
Be 0.0000 0.0000 0.5000
Be 0.0000 0.5000 0.0000
Be 0.5000 0.0000 0.0000
CELL_PARAMETERS angstrom
4.5861 0.0000 0.0000
0.0000 4.5861 0.0000
0.0000 0.0000 4.5861

# 3
! SrHfBe2 | the Alexandria database | GGA-PBE | optimized geometry; values from VASP
! E_tot, eV/f.u.: -15.31
! ΔE to the lowest computed polymorph, meV per atom: 326
! Theoretical density, g cm⁻³: 5.050
! Calculated formation energy, eV per atom: 0.944
&SYSTEM
  ibrav = 0, nat = 16, ntyp = 3
/
ATOMIC_SPECIES
Sr 87.62 Sr.upf
Hf 178.49 Hf.upf
Be 9.01 Be.upf
ATOMIC_POSITIONS crystal
Sr 0.0000 0.0000 0.0000
Sr 0.0000 0.5000 0.2500
Sr 0.5000 0.0000 0.7500
Sr 0.5000 0.5000 0.5000
Hf 0.0000 0.0000 0.5000
Hf 0.0000 0.5000 0.7500
Hf 0.5000 0.0000 0.2500
Hf 0.5000 0.5000 0.0000
Be 0.2013 0.7500 0.6250
Be 0.2500 0.2013 0.3750
Be 0.2500 0.2987 0.8750
Be 0.2987 0.7500 0.1250
Be 0.7013 0.2500 0.1250
Be 0.7500 0.7013 0.8750
Be 0.7500 0.7987 0.3750
Be 0.7987 0.2500 0.6250
CELL_PARAMETERS angstrom
7.3544 0.0000 0.0000
0.0000 7.3544 0.0000
0.0000 0.0000 6.9089

# 4
! Sr3HfBe | the Alexandria database | GGA-PBE | optimized geometry; values from VASP
! E_tot, eV/f.u.: -14.12
! ΔE to the lowest computed polymorph, meV per atom: 0
! Theoretical density, g cm⁻³: 3.764
! Calculated formation energy, eV per atom: 0.921
&SYSTEM
  ibrav = 0, nat = 5, ntyp = 3
/
ATOMIC_SPECIES
Sr 87.62 Sr.upf
Hf 178.49 Hf.upf
Be 9.01 Be.upf
ATOMIC_POSITIONS crystal
Sr 0.0000 0.0000 0.5000
Sr 0.0000 0.5000 0.0000
Sr 0.5000 0.0000 0.0000
Hf 0.5000 0.5000 0.5000
Be 0.0000 0.0000 0.0000
CELL_PARAMETERS angstrom
5.8349 0.0000 0.0000
0.0000 5.8349 0.0000
0.0000 0.0000 5.8349

# 5
! SrHfTiBe2 | the Alexandria database | GGA-PBE | optimized geometry; values from VASP
! E_tot, eV/f.u.: -22.49
! Theoretical density, g cm⁻³: 4.867
! Calculated formation energy, eV per atom: 0.899
&SYSTEM
  ibrav = 0, nat = 5, ntyp = 4
/
ATOMIC_SPECIES
Sr 87.62 Sr.upf
Hf 178.49 Hf.upf
Ti 47.87 Ti.upf
Be 9.01 Be.upf
ATOMIC_POSITIONS crystal
Sr 0.0000 0.0000 0.0000
Hf 0.5000 0.5000 0.0000
Ti 0.5000 0.5000 0.5000
Be 0.0000 0.5000 0.5000
Be 0.5000 0.0000 0.5000
CELL_PARAMETERS angstrom
4.8999 0.0000 0.0000
0.0000 4.8999 0.0000
0.0000 0.0000 4.7183

# 6
! SrHf2BeZn | the Alexandria database | GGA-PBE | optimized geometry; values from VASP
! E_tot, eV/f.u.: -23.87
! Theoretical density, g cm⁻³: 7.816
! Calculated formation energy, eV per atom: 0.543
&SYSTEM
  ibrav = 0, nat = 5, ntyp = 4
/
ATOMIC_SPECIES
Sr 87.62 Sr.upf
Hf 178.49 Hf.upf
Be 9.01 Be.upf
Zn 65.41 Zn.upf
ATOMIC_POSITIONS crystal
Sr 0.0000 0.0000 0.0000
Hf 0.0000 0.5000 0.5000
Hf 0.5000 0.0000 0.5000
Be 0.5000 0.5000 0.5000
Zn 0.5000 0.5000 0.0000
CELL_PARAMETERS angstrom
4.9087 0.0000 0.0000
0.0000 4.9087 0.0000
0.0000 0.0000 4.5764

# 7
! HfTa2Be9 | the Alexandria database | GGA-PBE | optimized geometry; values from VASP
! E_tot, eV/f.u.: -70.20
! ΔE to the lowest computed polymorph, meV per atom: 0
! Theoretical density, g cm⁻³: 7.927
! Calculated formation energy, eV per atom: -0.250
&SYSTEM
  ibrav = 0, nat = 12, ntyp = 3
/
ATOMIC_SPECIES
Hf 178.49 Hf.upf
Ta 180.95 Ta.upf
Be 9.01 Be.upf
ATOMIC_POSITIONS crystal
Hf 0.0000 0.0000 0.0000
Ta 0.1424 0.1424 0.1424
Ta 0.8576 0.8576 0.8576
Be 0.0756 0.5863 0.5863
Be 0.3353 0.3353 0.3353
Be 0.4137 0.4137 0.9244
Be 0.4137 0.9244 0.4137
Be 0.5000 0.5000 0.5000
Be 0.5863 0.0756 0.5863
Be 0.5863 0.5863 0.0756
Be 0.6647 0.6647 0.6647
Be 0.9244 0.4137 0.4137
CELL_PARAMETERS angstrom
2.2977 1.3266 7.1188
-2.2977 1.3266 7.1188
0.0000 -2.6532 7.1188

# 8
! HfTaBe | the Alexandria database | GGA-PBE | optimized geometry; values from VASP
! E_tot, eV/f.u.: -25.31
! ΔE to the lowest computed polymorph, meV per atom: 135
! Theoretical density, g cm⁻³: 12.268
! Calculated formation energy, eV per atom: 0.073
&SYSTEM
  ibrav = 0, nat = 6, ntyp = 3
/
ATOMIC_SPECIES
Hf 178.49 Hf.upf
Ta 180.95 Ta.upf
Be 9.01 Be.upf
ATOMIC_POSITIONS crystal
Hf 0.0000 0.0000 0.0000
Hf 0.5000 0.5000 0.5000
Ta 0.0000 0.0000 0.3036
Ta 0.5000 0.5000 0.8036
Be 0.0000 0.0000 0.6655
Be 0.5000 0.5000 0.1655
CELL_PARAMETERS angstrom
3.1509 0.0000 0.0000
0.0000 3.1509 0.0000
0.0000 0.0000 10.0469

# 9
! HfTa2Be | the Alexandria database | GGA-PBE | optimized geometry; values from VASP
! E_tot, eV/f.u.: -35.36
! Theoretical density, g cm⁻³: 12.853
! Calculated formation energy, eV per atom: 0.507
&SYSTEM
  ibrav = 0, nat = 16, ntyp = 3
/
ATOMIC_SPECIES
Hf 178.49 Hf.upf
Ta 180.95 Ta.upf
Be 9.01 Be.upf
ATOMIC_POSITIONS crystal
Hf 0.0000 0.0000 0.0000
Hf 0.0000 0.5000 0.2500
Hf 0.5000 0.0000 0.7500
Hf 0.5000 0.5000 0.5000
Ta 0.2015 0.7500 0.6250
Ta 0.2500 0.2015 0.3750
Ta 0.2500 0.2985 0.8750
Ta 0.2985 0.7500 0.1250
Ta 0.7015 0.2500 0.1250
Ta 0.7500 0.7015 0.8750
Ta 0.7500 0.7985 0.3750
Ta 0.7985 0.2500 0.6250
Be 0.0000 0.0000 0.5000
Be 0.0000 0.5000 0.7500
Be 0.5000 0.0000 0.2500
Be 0.5000 0.5000 0.0000
CELL_PARAMETERS angstrom
7.4193 0.0000 0.0000
0.0000 7.4193 0.0000
0.0000 0.0000 5.1576

# 10
! HfTaBe10 | the Alexandria database | GGA-PBE | optimized geometry; values from VASP
! E_tot, eV/f.u.: -61.68
! Theoretical density, g cm⁻³: 6.350
! Calculated formation energy, eV per atom: -0.218
&SYSTEM
  ibrav = 0, nat = 12, ntyp = 3
/
ATOMIC_SPECIES
Hf 178.49 Hf.upf
Ta 180.95 Ta.upf
Be 9.01 Be.upf
ATOMIC_POSITIONS crystal
Hf 0.0000 0.0000 0.0000
Ta 0.0000 0.5000 0.5000
Be 0.0000 0.0000 0.3415
Be 0.0000 0.0000 0.6585
Be 0.0000 0.5000 0.1716
Be 0.0000 0.5000 0.8284
Be 0.5000 0.0000 0.5000
Be 0.5000 0.2541 0.2573
Be 0.5000 0.2541 0.7427
Be 0.5000 0.5000 0.0000
Be 0.5000 0.7459 0.2573
Be 0.5000 0.7459 0.7427
CELL_PARAMETERS angstrom
3.3870 0.0000 0.0000
0.0000 4.4819 0.0000
0.0000 0.0000 7.7444

# 11
! HfTaBe4 | the Alexandria database | GGA-PBE | optimized geometry; values from VASP
! E_tot, eV/f.u.: -37.39
! Theoretical density, g cm⁻³: 9.008
! Calculated formation energy, eV per atom: -0.114
&SYSTEM
  ibrav = 0, nat = 6, ntyp = 3
/
ATOMIC_SPECIES
Hf 178.49 Hf.upf
Ta 180.95 Ta.upf
Be 9.01 Be.upf
ATOMIC_POSITIONS crystal
Hf 0.0000 0.0000 0.0000
Ta 0.7500 0.7500 0.7500
Be 0.3763 0.3763 0.3763
Be 0.3763 0.3763 0.8710
Be 0.3763 0.8710 0.3763
Be 0.8710 0.3763 0.3763
CELL_PARAMETERS angstrom
0.0000 3.3157 3.3157
3.3157 0.0000 3.3157
3.3157 3.3157 0.0000

# 12
! Hf2TaBe9 | the Alexandria database | GGA-PBE | optimized geometry; values from VASP
! E_tot, eV/f.u.: -67.16
! Theoretical density, g cm⁻³: 7.727
! Calculated formation energy, eV per atom: -0.155
&SYSTEM
  ibrav = 0, nat = 12, ntyp = 3
/
ATOMIC_SPECIES
Hf 178.49 Hf.upf
Ta 180.95 Ta.upf
Be 9.01 Be.upf
ATOMIC_POSITIONS crystal
Hf 0.1382 0.1382 0.1382
Hf 0.8618 0.8618 0.8618
Ta 0.0000 0.0000 0.0000
Be 0.0748 0.5781 0.5781
Be 0.3338 0.3338 0.3338
Be 0.4219 0.4219 0.9252
Be 0.4219 0.9252 0.4219
Be 0.5000 0.5000 0.5000
Be 0.5781 0.0748 0.5781
Be 0.5781 0.5781 0.0748
Be 0.6662 0.6662 0.6662
Be 0.9252 0.4219 0.4219
CELL_PARAMETERS angstrom
2.3040 1.3302 7.2341
-2.3040 1.3302 7.2341
0.0000 -2.6605 7.2341

| no. | DOS at the Fermi energy (states/eV/atom) |
| --- | --- |
| 1 | 1.869 |
| 2 | 0.532 |
| 3 | 1.083 |
| 4 | 1.349 |
| 5 | 1.149 |
| 6 | 0.863 |
| 7 | 0.420 |
| 8 | 0.700 |
| 9 | 0.721 |
| 10 | 0.242 |
| 11 | 0.665 |
| 12 | 0.692 |